A geometry-optimized Sr2CuMoH structure. Source: Alexandria via LeMat-Bulk, functional PBE.

Results
Uncorrected energy in eV per atom: -3.269

Cell: 5.809 5.809 4.587 Å, 90.00 90.00 90.00°
Space group P4/mmm (No. 123)
One atom of each set of equivalent atoms:
Sr  0.000  0.500  0.000 x2
Cu  0.000  0.000  0.500 x1
Mo  0.000  0.000  0.000 x1
H  0.500  0.500  0.500 x1

=====

A geometry-optimized ZrTi2Ga2Cu2 structure. Source: Alexandria via LeMat-Bulk, functional PBE.

Results
Uncorrected energy in eV per atom: -5.750
Energy relative to the elements in eV/atom: -0.238

Cell: 4.2189 4.2189 22.1459 Å, 90.00 90.00 120.00°
Space group R-3m (No. 166, hexagonal axes)
One atom of each set of equivalent atoms:
Zr  0.0000  0.0000  0.0000 x3
Ti  0.0000  0.0000  0.1376 x6
Ga  0.0000  0.0000  0.2625 x6
Cu  0.0000  0.0000  0.4345 x6

=====

A geometry-optimized Ca2TcOs structure. Source: Alexandria via LeMat-Bulk, functional PBE.

Results
Uncorrected energy in eV per atom: -5.656
Energy relative to the lowest polymorph listed for this composition in meV per atom: 485
Energy relative to the elements in eV/atom: 0.744

Cell: 5.656 9.640 2.899 Å, 90.00 105.50 90.00°
Space group C2/m (No. 12)
One atom of each set of equivalent atoms:
Ca  0.250  0.250  0.000 x4
Tc  0.000  0.000  0.500 x2
Os  0.000  0.500  0.500 x2

=====

A geometry-optimized SrY2Co2 structure. Source: Alexandria via LeMat-Bulk, functional PBE.

Results
Uncorrected energy in eV per atom: -5.652
Energy relative to the lowest polymorph listed for this composition in meV per atom: 0
Energy relative to the elements in eV/atom: 0.113

Cell: 4.625 4.625 11.395 Å, 90.00 90.00 90.00°
Space group I4/mmm (No. 139)
One atom of each set of equivalent atoms:
Sr  0.000  0.000  0.000 x2
Y  0.000  0.500  0.250 x4
Co  0.000  0.000  0.398 x4